# 1
Computed, not measured: BeSi2Ir at its PBEsol-relaxed geometry at the SCAN level of DFT.

Unit cell a=3.6567 b=3.6567 c=7.2163 alpha=90.00 beta=90.00 gamma=90.00
Closest atoms and distances in Å follow each position.
Space group I-4m2 (No. 119)
One atom of each set of equivalent atoms:
1 Be 0.0000 0.0000 0.0000 x2  4 Ir 2.57, 8 Si 2.57-2.59
2 Si 0.0000 0.0000 0.5000 x2  4 Ir 2.57, 4 Si 2.57, 4 Be 2.59
3 Si 0.0000 0.5000 0.7500 x2  4 Be 2.57, 4 Si 2.57, 4 Ir 2.59
4 Ir 0.0000 0.5000 0.2500 x2  4 Be 2.57, 8 Si 2.57-2.59

The calculation puts the volume at 96.5 Å³/cell. The total energy comes out at -23.93 eV per atom. Its raw formation energy is -0.06 eV/atom.

# 2
Computed, not measured: YGeIr at its PBEsol-relaxed geometry at the SCAN level of DFT.

Unit cell a=6.8061 b=4.2631 c=7.5420 alpha=90.00 beta=90.00 gamma=90.00
Closest atoms and distances in Å follow each position.
Space group Pnma (No. 62)
One atom of each set of equivalent atoms:
1 Y 0.0048 0.2500 0.1913 x4  5 Ge 2.95-3.00, 6 Ir 3.01-3.26
2 Ge 0.2084 0.7500 0.3893 x4  4 Ir 2.53-2.60
3 Ir 0.1601 0.2500 0.5655 x4  4 Ge 2.53-2.60

The calculation puts the volume at 218.8 Å³/cell. The value obtained for the formation energy from the elements is -1.136 eV per atom. The total energy comes out at -40.48 eV per atom.

# 3
Computed, not measured: Be2TlP at its PBEsol-relaxed geometry at the SCAN level of DFT.

Unit cell a=4.0911 b=4.0911 c=7.1572 alpha=90.00 beta=90.00 gamma=90.00
Closest atoms and distances in Å follow each position.
Space group I4/mmm (No. 139)
One atom of each set of equivalent atoms:
1 Be 0.0000 0.5000 0.2500 x4  4 Tl 2.72, 4 P 2.72, 4 Be 2.89
2 Tl 0.0000 0.0000 0.0000 x2  8 Be 2.72, 4 P 2.89
3 P 0.0000 0.0000 0.5000 x2  8 Be 2.72, 4 Tl 2.89

The calculation puts the volume at 119.8 Å³/cell. The value obtained for the formation energy from the elements is 0.798 eV per atom. The total energy comes out at -22.07 eV per atom. Its polymorph energy (0 for the lowest one) is 642 meV per atom.

# 4
Computed, not measured: OsPtW at its PBEsol-relaxed geometry at the SCAN level of DFT.

Unit cell a=2.7574 b=2.7574 c=6.7604 alpha=90.00 beta=90.00 gamma=120.00
Closest atoms and distances in Å follow each position.
Space group P3m1 (No. 156)
One atom of each set of equivalent atoms:
1 Os 0.0000 0.0000 0.0000 x1  3 W 2.67, 6 Os 2.76, 3 Pt 2.83
2 Pt 0.3333 0.6667 0.6547 x1  6 Pt 2.76, 3 W 2.78, 3 Os 2.83
3 W 0.6667 0.3333 0.3178 x1  3 Os 2.67, 6 W 2.76, 3 Pt 2.78

The calculation puts the volume at 44.5 Å³/cell. The value obtained for the formation energy from the elements is 0.032 eV per atom. The total energy comes out at -70.55 eV per atom. Its polymorph energy (0 for the lowest one) is 0 meV per atom.

# 5
Computed, not measured: CuAu at its PBEsol-relaxed geometry at the SCAN level of DFT.

Unit cell a=2.7595 b=2.7595 c=8.7817 alpha=90.00 beta=90.00 gamma=120.00
Closest atoms and distances in Å follow each position.
Space group P-3m1 (No. 164)
One atom of each set of equivalent atoms:
1 Cu 0.3333 0.6667 0.3913 x2  9 Cu 2.49-2.76, 3 Au 2.69
2 Au 0.3333 0.6667 0.8555 x2  3 Cu 2.69, 9 Au 2.76-3.00

The calculation puts the volume at 57.9 Å³/cell. The value obtained for the formation energy from the elements is 0.041 eV per atom. The total energy comes out at -42.14 eV per atom.

# 6
Computed, not measured: YCdIn at its PBEsol-relaxed geometry at the SCAN level of DFT.

Unit cell a=4.8503 b=4.8503 c=3.4850 alpha=90.00 beta=90.00 gamma=120.00
Closest atoms and distances in Å follow each position.
Space group P-6m2 (No. 187)
One atom of each set of equivalent atoms:
1 Y 0.0000 0.0000 0.0000 x1  6 Cd 3.30, 6 In 3.30, 2 Y 3.48
2 Cd 0.3333 0.6667 0.5000 x1  3 In 2.80
3 In 0.6667 0.3333 0.5000 x1  3 Cd 2.80

The calculation puts the volume at 71.0 Å³/cell. The value obtained for the formation energy from the elements is -0.569 eV per atom. The total energy comes out at -31.12 eV per atom.